No. 1
## Sm2Re2N7 (PBE)

Data for an optimized crystal structure of Sm2Re2N7.

Unit cell a=7.4476 b=9.8478 c=5.2099 alpha=90.00 beta=102.98 gamma=90.00
Space group C2/m (No. 12)
Inequivalent atoms, fractional coordinates:
1 Sm 0.0000 0.1952 0.0000 x4
2 Re 0.2230 0.5000 0.3994 x4
3 N 0.0000 0.5000 0.5000 x2
4 N 0.1056 0.0000 0.2885 x4
5 N 0.2399 0.3488 0.2100 x8

Output
Density of states at the Fermi level in states/eV/cell: 9.7
Energy in eV per formula unit: -97.7

***

No. 2
## Sm2Re3N8 (PBE)

Data for an optimized crystal structure of Sm2Re3N8.

Unit cell a=11.7777 b=6.3376 c=5.0631 alpha=90.00 beta=111.93 gamma=90.00
Space group C2/m (No. 12)
Inequivalent atoms, fractional coordinates:
1 Sm 0.2375 0.0000 0.1587 x4
2 Re 0.0000 0.2040 0.5000 x4
3 Re 0.0000 0.5000 0.0000 x2
4 N 0.0986 0.5000 0.4003 x4
5 N 0.1024 0.2761 0.8963 x8
6 N 0.1119 0.0000 0.4380 x4

Output
Density of states at the Fermi level in states/eV/cell: 8.6
Energy in eV per formula unit: -117.9

***

No. 3
## SmRe2N4 (PBE)

Data for an optimized crystal structure of SmRe2N4.

Unit cell a=3.2660 b=9.8034 c=10.0949 alpha=90.00 beta=90.00 gamma=90.00
Space group Cmcm (No. 63)
Inequivalent atoms, fractional coordinates:
1 Sm 0.0000 0.1266 0.2500 x4
2 Re 0.0000 0.3863 0.0627 x8
3 N 0.0000 0.0000 0.0000 x4
4 N 0.0000 0.2578 0.6023 x8
5 N 0.0000 0.4314 0.2500 x4

Output
Density of states at the Fermi level in states/eV/cell: 10.0
Energy in eV per formula unit: -65.7

***

No. 4
## Sm3ReN6 (PBE)

Data for an optimized crystal structure of Sm3ReN6.

Unit cell a=9.6362 b=12.1699 c=5.4005 alpha=90.00 beta=90.00 gamma=90.00
Space group Cmc2_1 (No. 36)
Inequivalent atoms, fractional coordinates:
1 Sm 0.0000 0.1055 0.0000 x4
2 Sm 0.1925 0.3933 0.9671 x8
3 Re 0.0000 0.3040 0.4212 x4
4 N 0.0000 0.2926 0.7611 x4
5 N 0.0000 0.4451 0.3028 x4
6 N 0.1506 0.2399 0.2753 x8
7 N 0.1593 0.0089 0.7303 x8

Output
Density of states at the Fermi level in states/eV/cell: 25.9
Energy in eV per formula unit: -84.4

***

No. 5
## Sm12Re3N5 (PBE)

Data for an optimized crystal structure of Sm12Re3N5.

Unit cell a=15.5477 b=15.5477 c=15.5477 alpha=90.00 beta=90.00 gamma=90.00
Space group Ia-3d (No. 230)
Inequivalent atoms, fractional coordinates:
1 Sm 0.0277 0.0532 0.6520 x96
2 Re 0.0000 0.2500 0.1250 x24
3 N 0.0000 0.0000 0.0000 x16
4 N 0.0000 0.2500 0.3750 x24

Output
Density of states at the Fermi level in states/eV/cell: 71.5
Energy in eV per formula unit: -145.4

***

No. 6
## SmRe2N8 (PBE)

Data for an optimized crystal structure of SmRe2N8.

Unit cell a=6.0731 b=6.0731 c=11.6977 alpha=90.00 beta=90.00 gamma=90.00
Space group I4/mmm (No. 139)
Inequivalent atoms, fractional coordinates:
1 Sm 0.0000 0.0000 0.0000 x2
2 Re 0.0000 0.5000 0.2500 x4
3 N 0.0000 0.2534 0.1611 x16

Output
Density of states at the Fermi level in states/eV/cell: 11.1
Energy in eV per formula unit: -88.6